The following is a PBE+U calculation of an optimized crystal structure of AsWF3, from Alexandria via LeMat-Bulk.

As for the calculated total energy: -23.51 eV per formula unit. For the energy above the most stable polymorph in this dataset, the calculation gives 0 meV per atom.

It has space group Pm-3m (No. 221), with a = 4.320 Å, b = 4.320 Å, c = 4.320 Å, α = 90.00°, β = 90.00° and γ = 90.00°. The asymmetric unit holds As at (0.000, 0.000, 0.000), W at (0.500, 0.500, 0.500) and F at (0.000, 0.500, 0.500).